Compound: RbNbCr2O8
Source: the Alexandria database
Functional: PBE+U
Structure: optimized geometry

Unit cell a=5.446 b=5.446 c=8.247 alpha=93.75 beta=93.75 gamma=62.93
Atoms (fractional coordinates):
1 Rb 0.000 0.000 0.000
2 Nb 0.000 0.000 0.500
3 Cr 0.364 0.364 0.713
4 Cr 0.636 0.636 0.287
5 O 0.203 0.203 0.583
6 O 0.209 0.713 0.668
7 O 0.287 0.791 0.332
8 O 0.316 0.316 0.899
9 O 0.684 0.684 0.101
10 O 0.713 0.209 0.668
11 O 0.791 0.287 0.332
12 O 0.797 0.797 0.417

Results
Total DFT energy (no corrections), eV/atom: -7.2268
Theoretical density, kg/m³: 3138
Spin magnetization, μB/f.u.: 2.00
Symmetry: C2/m (12)